Record 1
The following is a PBE-GGA calculation of crystalline TaTiOs at its relaxed geometry, from the Alexandria database.

Computed properties:
symmetry = No. 107
formation enthalpy at 0 K = -0.46 eV/atom
energy above the lowest structure with this stoichiometry = 0.00 eV per formula unit
crystal system = tetragonal

Cell: 3.139 3.139 5.368 Å, 106.98 106.98 90.06°
Positions (direct):
Ta  0.052  0.052  0.103
Ti  0.373  0.373  0.746
Os  0.714  0.714  0.428

=====

Record 2
The following is a PBE-GGA calculation of crystalline Sr2Cd7Ga at its relaxed geometry, from the Alexandria database.

Computed properties:
symmetry = No. 115
formation enthalpy at 0 K = -0.25 eV/atom
crystal system = tetragonal

Cell: 4.618 4.618 12.563 Å, 90.00 90.00 90.00°
Positions (direct):
Sr  0.000  0.500  0.244
Cd  0.500  0.000  0.356
Cd  0.500  0.500  0.500
Sr  0.500  0.000  0.756
Cd  0.000  0.500  0.867
Cd  0.000  0.000  0.000
Cd  0.500  0.000  0.133
Cd  0.000  0.500  0.644
Ga  0.500  0.500  0.000
Cd  0.000  0.000  0.500

=====

Record 3
The following is a PBE-GGA calculation of crystalline MgTlPdF2 at its relaxed geometry, from the Alexandria database.

Computed properties:
symmetry = No. 123
ΔE_f (raw) = -0.77 eV/atom
crystal system = tetragonal

Cell: 4.278 5.565 4.278 Å, 90.00 90.00 90.00°
Positions (direct):
F  0.500  0.000  0.000
F  0.000  0.000  0.500
Tl  0.000  0.500  0.000
Pd  0.000  0.000  0.000
Mg  0.500  0.500  0.500

=====

Record 4
The following is a PBE-GGA calculation of crystalline CsLiIn2 at its relaxed geometry, from the Alexandria database.

Computed properties:
symmetry = No. 8
formation enthalpy at 0 K = -0.18 eV/atom
energy above the lowest structure with this stoichiometry = 0.00 eV per formula unit
crystal system = monoclinic

Cell: 4.971 4.971 7.582 Å, 70.82 70.82 60.00°
Positions (direct):
In  0.311  0.311  0.068
Li  0.679  0.679  0.965
In  0.010  0.010  0.970
Cs  0.500  0.500  0.497

=====

Please write out number 2 again, unchanged.
The following is a PBE-GGA calculation of crystalline Sr2Cd7Ga at its relaxed geometry, from the Alexandria database.

Computed properties:
symmetry = No. 115
formation enthalpy at 0 K = -0.25 eV/atom
crystal system = tetragonal

Cell: 4.618 4.618 12.563 Å, 90.00 90.00 90.00°
Positions (direct):
Sr  0.000  0.500  0.244
Cd  0.500  0.000  0.356
Cd  0.500  0.500  0.500
Sr  0.500  0.000  0.756
Cd  0.000  0.500  0.867
Cd  0.000  0.000  0.000
Cd  0.500  0.000  0.133
Cd  0.000  0.500  0.644
Ga  0.500  0.500  0.000
Cd  0.000  0.000  0.500